Record 1
## KZr2 (PBE)

Data for crystalline KZr2 at its relaxed geometry.

extended XYZ file:
```
6
Lattice="-4.2207 4.2207 2.4977 4.2207 -4.2207 2.4977 4.2207 4.2207 -2.4977" Properties=species:S:1:pos:R:3 pbc="T T T"
K 0.0000 0.0000 1.2488
K 0.0000 0.0000 3.7465
Zr 5.2636 1.0429 0.0000
Zr 1.0429 3.1778 0.0000
Zr 3.1778 1.0429 2.4977
Zr -1.0429 3.1778 2.4977
```

Results
Final energy ... -4.883 eV per atom
Formation energy ... 1.182 eV/atom
Calculated density ... 4.1 g/cm³
Symmetry ... I4/mcm
Fermi-level density of states ... 1.01 states/eV per atom

=====

Record 2
## KZr (PBE)

Data for crystalline KZr at its relaxed geometry.

extended XYZ file:
```
4
Lattice="-1.5759 3.5398 6.6629 1.5759 -3.5398 6.6629 1.5759 3.5398 -6.6629" Properties=species:S:1:pos:R:3 pbc="T T T"
K 0.0000 1.7699 1.4737
K 1.5759 1.7699 5.1892
Zr 1.5759 1.7699 -2.1713
Zr 0.0000 1.7699 8.8342
```

Results
Final energy ... -3.972 eV per atom
Formation energy ... 0.851 eV/atom
Calculated density ... 2.9 g/cm³
Symmetry ... Imma
Fermi-level density of states ... 1.19 states/eV per atom

=====

Record 3
## KZr2 (PBE)

Data for crystalline KZr2 at its relaxed geometry.

extended XYZ file:
```
9
Lattice="10.0436 0.0000 0.0000 -5.0218 8.6980 0.0000 0.0000 0.0000 2.8083" Properties=species:S:1:pos:R:3 pbc="T T T"
K 0.0000 0.0000 0.0000
K 0.0000 5.7987 1.4041
K 5.0218 2.8993 1.4041
Zr -1.6716 2.8953 1.4041
Zr -3.3468 5.7969 0.0000
Zr 3.3432 0.0000 1.4041
Zr 1.6749 2.9011 0.0000
Zr 6.6937 0.0000 0.0000
Zr 3.3502 5.8027 1.4041
```

Results
Final energy ... -5.174 eV per atom
Formation energy ... 0.891 eV/atom
Calculated density ... 4.5 g/cm³
Symmetry ... P-62m
Fermi-level density of states ... 1.59 states/eV per atom

=====

Record 4
## KZr3 (PBE)

Data for crystalline KZr3 at its relaxed geometry.

extended XYZ file:
```
4
Lattice="3.3122 -5.4065 0.0000 3.3122 5.4065 0.0000 0.0000 0.0000 2.8987" Properties=species:S:1:pos:R:3 pbc="T T T"
K 0.0000 0.0000 0.0000
Zr 1.6561 2.7033 1.4493
Zr 1.6561 -2.7033 1.4493
Zr 3.3122 0.0000 0.0000
```

Results
Final energy ... -5.893 eV per atom
Formation energy ... 0.792 eV/atom
Calculated density ... 5.0 g/cm³
Symmetry ... Cmmm
Fermi-level density of states ... 1.31 states/eV per atom

=====

Record 5
## KZr (PBE)

Data for crystalline KZr at its relaxed geometry.

extended XYZ file:
```
4
Lattice="3.3532 0.0000 0.0000 0.0000 3.3532 0.0000 0.0000 0.0000 12.9221" Properties=species:S:1:pos:R:3 pbc="T T T"
K 0.8383 0.8383 2.1167
K 2.5149 2.5149 10.8053
Zr 0.8383 0.8383 7.4390
Zr 2.5149 2.5149 5.4830
```

Results
Final energy ... -4.382 eV per atom
Formation energy ... 0.441 eV/atom
Calculated density ... 3.0 g/cm³
Symmetry ... P4/nmm
Fermi-level density of states ... 0.97 states/eV per atom

=====

Record 6
## K2Zr (PBE)

Data for crystalline K2Zr at its relaxed geometry.

extended XYZ file:
```
6
Lattice="1.8331 -18.4117 0.0000 1.8331 18.4117 0.0000 0.0000 0.0000 4.4201" Properties=species:S:1:pos:R:3 pbc="T T T"
K 1.8331 16.4572 3.3151
K 1.8331 5.8519 3.3151
K 1.8331 -5.8519 1.1050
K 1.8331 -16.4572 1.1050
Zr 1.8331 9.0836 1.1050
Zr 1.8331 -9.0836 3.3151
```

Results
Final energy ... -3.123 eV per atom
Formation energy ... 0.458 eV/atom
Calculated density ... 1.9 g/cm³
Symmetry ... Cmcm
Fermi-level density of states ... 0.73 states/eV per atom

=====

Record 7
## K2Zr (PBE)

Data for crystalline K2Zr at its relaxed geometry.

extended XYZ file:
```
6
Lattice="8.4358 -1.6484 0.0000 8.4358 1.6484 0.0000 -3.3525 0.0000 9.9571" Properties=species:S:1:pos:R:3 pbc="T T T"
K -0.0522 0.0000 2.1191
K 4.2858 0.0000 3.4786
K 9.2333 0.0000 6.4785
K 13.5713 0.0000 7.8381
Zr 2.0215 0.0000 9.8544
Zr 11.4976 0.0000 0.1027
```

Results
Final energy ... -2.954 eV per atom
Formation energy ... 0.627 eV/atom
Calculated density ... 2.0 g/cm³
Symmetry ... C2/m
Fermi-level density of states ... 0.95 states/eV per atom

=====

Record 8
## KZr (PBE)

Data for crystalline KZr at its relaxed geometry.

extended XYZ file:
```
4
Lattice="1.7294 0.9985 13.2201 -1.7294 0.9985 13.2201 0.0000 -1.9970 13.2201" Properties=species:S:1:pos:R:3 pbc="T T T"
K 0.0000 0.0000 4.5485
K 0.0000 0.0000 35.1119
Zr 0.0000 0.0000 14.3807
Zr 0.0000 0.0000 25.2796
```

Results
Final energy ... -4.284 eV per atom
Formation energy ... 0.539 eV/atom
Calculated density ... 3.2 g/cm³
Symmetry ... R-3m
Fermi-level density of states ... 1.43 states/eV per atom